VASP calculation (PBE-GGA) on a geometry-optimized K3BeRe structure.

a b c (Å): 6.194 6.194 6.194
angles (deg): 90.00 90.00 90.00
Last column: magnetic moment on the atom in μB.
Positions (direct):
1 K 0.000 0.500 0.000  -0.01
2 K 0.500 0.000 0.000  -0.01
3 K 0.000 0.000 0.500  -0.01
4 Be 0.000 0.000 0.000  -0.03
5 Re 0.500 0.500 0.500  3.64

The value obtained for the calculated formation energy is 1.83 eV per atom. The calculation puts the density of states at the Fermi level at 1.989 states/eV/atom. The calculation puts the energy above the most stable polymorph in this dataset at 0.000 eV per formula unit.